# TmAlOs, optimized geometry, DFT PBE
data_TmAlOs
_chemical_formula_sum 'Tm2 Al2 Os2'
_cell_length_a 5.313
_cell_length_b 5.313
_cell_length_c 5.313
_cell_angle_alpha 92.41
_cell_angle_beta 118.84
_cell_angle_gamma 118.39
_symmetry_space_group_name_H-M 'P 1'
_symmetry_Int_Tables_number 1
loop_
_symmetry_equiv_pos_as_xyz
'x,y,z'
loop_
_atom_site_label
_atom_site_type_symbol
_atom_site_fract_x
_atom_site_fract_y
_atom_site_fract_z
_atom_site_occupancy
Os1 Os 0.500 0.000 0.500 1
Os2 Os 0.000 0.500 0.500 1
Tm1 Tm 0.250 0.116 0.866 1
Tm2 Tm 0.750 0.884 0.134 1
Al1 Al 0.000 0.500 0.000 1
Al2 Al 0.500 0.500 0.500 1
# N(E_F) = 2.42 states/eV/f.u.
# Spin magnetization = 0.000 μB per atom
# E = -42.00 eV for the cell shown